This record from Alexandria describes a relaxed Ce2VGe3 crystal. The functional is PBE-GGA.

Cell and atoms, written as CIF:
```
data_Ce2VGe3
_cell_length_a 3.8694
_cell_length_b 4.7219
_cell_length_c 15.3135
_cell_angle_alpha 90.00
_cell_angle_beta 90.00
_cell_angle_gamma 90.00
_symmetry_space_group_name_H-M 'I m m m'
_symmetry_Int_Tables_number 71
_symmetry_space_group_name_Hall '-I 2 2'
loop_
_atom_site_label
_atom_site_type_symbol
_atom_site_fract_x
_atom_site_fract_y
_atom_site_fract_z
Ce1 Ce 0.0000 0.0000 0.1458
V1 V 0.0000 0.0000 0.5000
Ge1 Ge 0.0000 0.0000 0.3373
Ge2 Ge 0.0000 0.5000 0.5000
```

Values from the calculation:
DFT formation energy: -0.34 eV/atom
D(E_F): 18.38 states/eV per cell

This record from Alexandria describes a relaxed Ce2VGe crystal. The functional is PBE-GGA.

Cell and atoms, written as CIF:
```
data_Ce2VGe
_cell_length_a 3.0190
_cell_length_b 3.0190
_cell_length_c 31.3003
_cell_angle_alpha 90.00
_cell_angle_beta 90.00
_cell_angle_gamma 120.00
_symmetry_space_group_name_H-M 'R -3 m'
_symmetry_Int_Tables_number 166
_symmetry_space_group_name_Hall '-R 3 2"'
loop_
_atom_site_label
_atom_site_type_symbol
_atom_site_fract_x
_atom_site_fract_y
_atom_site_fract_z
Ce1 Ce 0.0000 0.0000 0.0825
V1 V 0.0000 0.0000 0.0000
Ge1 Ge 0.0000 0.0000 0.5000
```

Values from the calculation:
ΔE to the lowest computed polymorph: 1.62 eV per formula unit
DFT formation energy: 0.20 eV/atom
D(E_F): 19.15 states/eV per cell

This record from Alexandria describes a relaxed Ce2VGe crystal. The functional is PBE-GGA.

Cell and atoms, written as CIF:
```
data_Ce2VGe
_cell_length_a 4.3433
_cell_length_b 4.3433
_cell_length_c 4.4207
_cell_angle_alpha 90.00
_cell_angle_beta 90.00
_cell_angle_gamma 90.00
_symmetry_space_group_name_H-M 'P 4/m m m'
_symmetry_Int_Tables_number 123
_symmetry_space_group_name_Hall '-P 4 2'
loop_
_atom_site_label
_atom_site_type_symbol
_atom_site_fract_x
_atom_site_fract_y
_atom_site_fract_z
Ce1 Ce 0.0000 0.5000 0.0000
V1 V 0.0000 0.0000 0.5000
Ge1 Ge 0.5000 0.5000 0.5000
```

Values from the calculation:
ΔE to the lowest computed polymorph: 0.00 eV per formula unit
DFT formation energy: -0.20 eV/atom
D(E_F): 6.85 states/eV per cell

This record from Alexandria describes a relaxed CeV2Ge2 crystal. The functional is PBE-GGA.

Cell and atoms, written as CIF:
```
data_CeV2Ge2
_cell_length_a 3.9437
_cell_length_b 3.9437
_cell_length_c 11.5887
_cell_angle_alpha 90.00
_cell_angle_beta 90.00
_cell_angle_gamma 90.00
_symmetry_space_group_name_H-M 'I 4/m m m'
_symmetry_Int_Tables_number 139
_symmetry_space_group_name_Hall '-I 4 2'
loop_
_atom_site_label
_atom_site_type_symbol
_atom_site_fract_x
_atom_site_fract_y
_atom_site_fract_z
Ce1 Ce 0.0000 0.0000 0.0000
V1 V 0.0000 0.5000 0.2500
Ge1 Ge 0.0000 0.0000 0.3878
```

Values from the calculation:
DFT formation energy: -0.48 eV/atom
D(E_F): 13.34 states/eV per cell

This record from Alexandria describes a relaxed CeVGe2 crystal. The functional is PBE-GGA.

Cell and atoms, written as CIF:
```
data_CeVGe2
_cell_length_a 2.9016
_cell_length_b 2.9016
_cell_length_c 30.9255
_cell_angle_alpha 90.00
_cell_angle_beta 90.00
_cell_angle_gamma 120.00
_symmetry_space_group_name_H-M 'R -3 m'
_symmetry_Int_Tables_number 166
_symmetry_space_group_name_Hall '-R 3 2"'
loop_
_atom_site_label
_atom_site_type_symbol
_atom_site_fract_x
_atom_site_fract_y
_atom_site_fract_z
Ce1 Ce 0.0000 0.0000 0.0000
V1 V 0.0000 0.0000 0.5000
Ge1 Ge 0.0000 0.0000 0.0990
```

Values from the calculation:
DFT formation energy: 0.08 eV/atom
D(E_F): 13.07 states/eV per cell

This record from Alexandria describes a relaxed Ce2VGe4 crystal. The functional is PBE-GGA.

Cell and atoms, written as CIF:
```
data_Ce2VGe4
_cell_length_a 6.0811
_cell_length_b 6.0811
_cell_length_c 8.6983
_cell_angle_alpha 90.00
_cell_angle_beta 90.00
_cell_angle_gamma 90.00
_symmetry_space_group_name_H-M 'I 4 m m'
_symmetry_Int_Tables_number 107
_symmetry_space_group_name_Hall 'I 4 -2'
loop_
_atom_site_label
_atom_site_type_symbol
_atom_site_fract_x
_atom_site_fract_y
_atom_site_fract_z
Ce1 Ce 0.0000 0.5000 0.0000
V1 V 0.0000 0.0000 0.2483
Ge1 Ge 0.2112 0.2112 0.7503
```

Values from the calculation:
DFT formation energy: -0.35 eV/atom
D(E_F): 24.16 states/eV per cell

This record from Alexandria describes a relaxed CeV2Ge crystal. The functional is PBE-GGA.

Cell and atoms, written as CIF:
```
data_CeV2Ge
_cell_length_a 6.3455
_cell_length_b 6.3455
_cell_length_c 6.3455
_cell_angle_alpha 90.00
_cell_angle_beta 90.00
_cell_angle_gamma 90.00
_symmetry_space_group_name_H-M 'F m -3 m'
_symmetry_Int_Tables_number 225
_symmetry_space_group_name_Hall '-F 4 2 3'
loop_
_atom_site_label
_atom_site_type_symbol
_atom_site_fract_x
_atom_site_fract_y
_atom_site_fract_z
Ce1 Ce 0.0000 0.0000 0.0000
V1 V 0.2500 0.2500 0.2500
Ge1 Ge 0.0000 0.0000 0.5000
```

Values from the calculation:
DFT formation energy: -0.04 eV/atom
D(E_F): 15.27 states/eV per cell

This record from Alexandria describes a relaxed Ce2Y2Ge3 crystal. The functional is PBE-GGA.

Cell and atoms, written as CIF:
```
data_Ce2Y2Ge3
_cell_length_a 13.6464
_cell_length_b 4.2953
_cell_length_c 7.1383
_cell_angle_alpha 90.00
_cell_angle_beta 100.72
_cell_angle_gamma 90.00
_symmetry_space_group_name_H-M 'C 1 2/m 1'
_symmetry_Int_Tables_number 12
loop_
_symmetry_equiv_pos_as_xyz
'x,y,z'
'-x,-y,-z'
'-x,y,-z'
'x,-y,z'
'x+1/2,y+1/2,z'
'-x+1/2,-y+1/2,-z'
'-x+1/2,y+1/2,-z'
'x+1/2,-y+1/2,z'
loop_
_atom_site_label
_atom_site_type_symbol
_atom_site_fract_x
_atom_site_fract_y
_atom_site_fract_z
Ce1 Ce 0.1231 0.0000 0.3699
Y1 Y 0.1336 0.5000 0.8665
Ge1 Ge 0.0000 0.5000 0.5000
Ge2 Ge 0.2472 0.5000 0.2512
```

Values from the calculation:
DFT formation energy: -0.57 eV/atom
D(E_F): 16.66 states/eV per cell

Q: What is the formula in the seventh record?
A: CeV2Ge

Copy entry 5 word for word.
This record from Alexandria describes a relaxed CeVGe2 crystal. The functional is PBE-GGA.

Cell and atoms, written as CIF:
```
data_CeVGe2
_cell_length_a 2.9016
_cell_length_b 2.9016
_cell_length_c 30.9255
_cell_angle_alpha 90.00
_cell_angle_beta 90.00
_cell_angle_gamma 120.00
_symmetry_space_group_name_H-M 'R -3 m'
_symmetry_Int_Tables_number 166
_symmetry_space_group_name_Hall '-R 3 2"'
loop_
_atom_site_label
_atom_site_type_symbol
_atom_site_fract_x
_atom_site_fract_y
_atom_site_fract_z
Ce1 Ce 0.0000 0.0000 0.0000
V1 V 0.0000 0.0000 0.5000
Ge1 Ge 0.0000 0.0000 0.0990
```

Values from the calculation:
DFT formation energy: 0.08 eV/atom
D(E_F): 13.07 states/eV per cell

Q: Among the records above, which one has the highest DFT formation energy?
A: number 2